# TlSb2Ru (GGA-PBE, relaxed)
data_TlSb2Ru
_cell_length_a 9.180
_cell_length_b 3.432
_cell_length_c 6.903
_cell_angle_alpha 90.00
_cell_angle_beta 108.03
_cell_angle_gamma 90.00
_symmetry_space_group_name_H-M 'C 1 m 1'
_symmetry_Int_Tables_number 8
_symmetry_space_group_name_Hall 'C -2y'
loop_
_atom_site_label
_atom_site_fract_x
_atom_site_fract_y
_atom_site_fract_z
Tl1 0.000 0.000 0.000
Sb1 0.152 0.500 0.657
Sb2 0.300 0.500 0.297
Ru1 0.354 0.000 0.600
# calculated density = 8.82 g/cm3
# formation energy without anion corrections = 0.059 eV/atom
# volume = 25.852 Å³ per atom
# ΔE to the lowest computed polymorph = 61.4 meV/atom
# DFT total energy = -4.9123 eV/atom